No. 1
A plane-wave DFT calculation with PBE was carried out for a relaxed structure of KScS2.

Results
For the uncorrected energy, the calculation gives -5.647 eV/atom. For the uncorrected formation energy, the calculation gives -6.904 eV/f.u.

Cell lengths 3.8179, 3.8179, 7.4651 Å; angles 90.00, 90.00, 120.00 degrees
Space group P-3m1 (No. 164)
Asymmetric unit:
1 K 0.0000 0.0000 0.0000
2 Sc 0.0000 0.0000 0.5000
3 S 0.3333 0.6667 0.6907

=====

No. 2
A plane-wave DFT calculation with PBE was carried out for a relaxed structure of KScS2.

Results
For the uncorrected energy, the calculation gives -5.529 eV/atom. For the uncorrected formation energy, the calculation gives -6.432 eV/f.u.

Cell lengths 8.765, 9.580, 6.674 Å; angles 90.00, 123.64, 90.00 degrees
Space group C2/c (No. 15)
Asymmetric unit:
1 K 0.000 0.119 0.250
2 Sc 0.000 0.464 0.750
3 S 0.191 0.386 0.177

=====

No. 3
A plane-wave DFT calculation with PBE was carried out for a relaxed structure of KScS2.

Results
For the uncorrected energy, the calculation gives -5.175 eV/atom. For the uncorrected formation energy, the calculation gives -5.015 eV/f.u.

Cell lengths 3.703, 20.758, 5.462 Å; angles 90.00, 90.00, 90.00 degrees
Space group Cmcm (No. 63)
Asymmetric unit:
1 K 0.000 0.056 0.250
2 Sc 0.000 0.316 0.250
3 S 0.000 0.101 0.750
4 S 0.000 0.201 0.250

=====

No. 4
A plane-wave DFT calculation with PBE was carried out for a relaxed structure of KScS2.

Results
For the uncorrected energy, the calculation gives -5.541 eV/atom. For the uncorrected formation energy, the calculation gives -6.480 eV/f.u.

Cell lengths 9.179, 10.760, 9.384 Å; angles 90.00, 90.00, 90.00 degrees
Space group Fdd2 (No. 43)
Asymmetric unit:
1 K 0.000 0.000 0.000
2 Sc 0.000 0.000 0.452
3 S 0.039 0.211 0.551